# 1
A plane-wave DFT calculation with PBE was carried out for a relaxed structure of Li2LaSe.

Structure (CIF):
```
data_Li2LaSe
_symmetry_space_group_name_H-M 'I m m m'
_symmetry_Int_Tables_number 71
_symmetry_space_group_name_Hall '-I 2 2'
_cell_length_a 3.530
_cell_length_b 4.979
_cell_length_c 11.400
_cell_angle_alpha 90.00
_cell_angle_beta 90.00
_cell_angle_gamma 90.00
loop_
_atom_site_label
_atom_site_type_symbol
_atom_site_fract_x
_atom_site_fract_y
_atom_site_fract_z
Li1 Li 0.000 0.000 0.200
La1 La 0.000 0.500 0.000
Se1 Se 0.000 0.500 0.500
```

Raw formation energy (eV per atom): -0.688
Density of states at the Fermi level (states/eV/cell): 6.7
Electronic total energy (eV/atom): -3.75

# 2
A plane-wave DFT calculation with PBE was carried out for a relaxed structure of Ni2RhCl.

Structure (CIF):
```
data_Ni2RhCl
_symmetry_space_group_name_H-M 'R 3 m'
_symmetry_Int_Tables_number 160
_symmetry_space_group_name_Hall 'R 3 -2"'
_cell_length_a 2.8680
_cell_length_b 2.8680
_cell_length_c 22.8160
_cell_angle_alpha 90.00
_cell_angle_beta 90.00
_cell_angle_gamma 120.00
loop_
_atom_site_label
_atom_site_type_symbol
_atom_site_fract_x
_atom_site_fract_y
_atom_site_fract_z
Ni1 Ni 0.0000 0.0000 0.0000
Ni2 Ni 0.0000 0.0000 0.2538
Rh1 Rh 0.0000 0.0000 0.5030
Cl1 Cl 0.0000 0.0000 0.7402
```

Raw formation energy (eV per atom): 0.332
Density of states at the Fermi level (states/eV/cell): 20.6
Electronic total energy (eV/atom): -4.86

# 3
A plane-wave DFT calculation with PBE was carried out for a relaxed structure of YTiTc2Ag.

Structure (CIF):
```
data_YTiTc2Ag
_symmetry_space_group_name_H-M 'P 4/m m m'
_symmetry_Int_Tables_number 123
_symmetry_space_group_name_Hall '-P 4 2'
_cell_length_a 4.760
_cell_length_b 4.760
_cell_length_c 4.838
_cell_angle_alpha 90.00
_cell_angle_beta 90.00
_cell_angle_gamma 90.00
loop_
_atom_site_label
_atom_site_type_symbol
_atom_site_fract_x
_atom_site_fract_y
_atom_site_fract_z
Y1 Y 0.000 0.000 0.000
Ti1 Ti 0.000 0.000 0.500
Tc1 Tc 0.000 0.500 0.000
Ag1 Ag 0.500 0.500 0.500
```

ΔE_f (eV/f.u.): 10.05
Density of states at the Fermi level (states/eV/cell): 7.5
Electronic total energy (eV/atom): -5.58

# 4
A plane-wave DFT calculation with PBE was carried out for a relaxed structure of HIBr.

Structure (CIF):
```
data_HIBr
_symmetry_space_group_name_H-M 'P 1 21 1'
_symmetry_Int_Tables_number 4
_symmetry_space_group_name_Hall 'P 2yb'
_cell_length_a 4.920
_cell_length_b 5.609
_cell_length_c 9.275
_cell_angle_alpha 90.00
_cell_angle_beta 101.91
_cell_angle_gamma 90.00
loop_
_atom_site_label
_atom_site_type_symbol
_atom_site_fract_x
_atom_site_fract_y
_atom_site_fract_z
H1 H 0.032 0.000 0.478
I1 I 0.434 0.799 0.961
Br1 Br 0.152 0.807 0.404
```

Density of states at the Fermi level (states/eV/cell): 2.6
Electronic total energy (eV/atom): -2.33

Question: What is the formula in the second record?
Answer: Ni2RhCl

Question: Look up the density of states at the Fermi level of the second one.
Answer: 20.6 states/eV/cell